<one>
This record from Alexandria describes crystalline Li3AlGa4 at its relaxed geometry. The functional is PBE-GGA.

Output
Space group: C2/m, No. 12
Crystal system: monoclinic
DOS(E_F) (states/eV per cell): 2.58
V (Å³/cell): 135.59

abc: 3.312 4.147 10.191
angles: 100.83 99.35 90.00
Atoms (fractional coordinates):
Ga: 0.595 0.593 0.190
Li: 0.000 0.500 0.000
Ga: 0.405 0.407 0.810
Ga: 0.725 0.727 0.450
Ga: 0.275 0.273 0.550
Li: 0.132 0.128 0.264
Li: 0.868 0.872 0.736
Al: 0.500 0.000 0.000

<two>
This record from Alexandria describes crystalline Li3AlGa4 at its relaxed geometry. The functional is PBE-GGA.

Output
Space group: C2/m, No. 12
Crystal system: monoclinic
DOS(E_F) (states/eV per cell): 2.89
V (Å³/cell): 129.02

abc: 3.975 3.974 8.701
angles: 104.14 104.14 89.72
Atoms (fractional coordinates):
Li: 0.248 0.748 0.496
Ga: 0.621 0.625 0.248
Al: 0.500 0.000 0.000
Li: 0.752 0.252 0.504
Ga: 0.876 0.878 0.752
Li: 0.000 0.500 0.000
Ga: 0.124 0.122 0.248
Ga: 0.379 0.375 0.752

Which structure wins on stability? <two> wins.

<one>
This record from Alexandria describes crystalline LiAl6Ga at its relaxed geometry. The functional is PBE-GGA.

Output
Space group: C2/m, No. 12
Crystal system: monoclinic
DOS(E_F) (states/eV per cell): 2.76
V (Å³/cell): 152.74

abc: 4.937 4.937 7.221
angles: 73.26 73.26 67.72
Atoms (fractional coordinates):
Li: 0.500 0.500 0.500
Ga: 0.000 0.000 0.000
Al: 0.941 0.457 0.703
Al: 0.364 0.364 0.925
Al: 0.543 0.059 0.297
Al: 0.059 0.543 0.297
Al: 0.457 0.941 0.703
Al: 0.636 0.636 0.075

<two>
This record from Alexandria describes crystalline LiAl6Ga at its relaxed geometry. The functional is PBE-GGA.

Output
Space group: P4/mmm, No. 123
Crystal system: tetragonal
DOS(E_F) (states/eV per cell): 3.71
V (Å³/cell): 135.62

abc: 4.958 4.958 5.518
angles: 90.00 90.00 90.00
Atoms (fractional coordinates):
Al: 0.500 0.000 0.250
Ga: 0.000 0.000 0.000
Al: 0.000 0.500 0.250
Al: 0.000 0.500 0.750
Al: 0.500 0.500 0.000
Li: 0.000 0.000 0.500
Al: 0.500 0.500 0.500
Al: 0.500 0.000 0.750

Which structure wins on stability? <two> wins.

<one>
This record from Alexandria describes crystalline LiAl2Ga4 at its relaxed geometry. The functional is PBE-GGA.

Output
Space group: I4_1/amd, No. 141
Crystal system: tetragonal
DOS(E_F) (states/eV per cell): 10.50
V (Å³/cell): 521.49

abc: 9.781 9.781 8.114
angles: 65.50 65.50 49.01
Atoms (fractional coordinates):
Ga: 0.125 0.625 0.625
Al: 0.388 0.862 0.875
Ga: 0.487 0.487 0.013
Al: 0.375 0.375 0.388
Ga: 0.247 0.753 0.753
Ga: 0.013 0.013 0.487
Ga: 0.497 0.003 0.003
Ga: 0.625 0.625 0.625
Al: 0.862 0.388 0.375
Ga: 0.247 0.753 0.247
Al: 0.388 0.862 0.375
Ga: 0.763 0.763 0.237
Ga: 0.003 0.497 0.497
Ga: 0.625 0.625 0.125
Ga: 0.753 0.247 0.753
Li: 0.125 0.625 0.125
Ga: 0.237 0.237 0.763
Li: 0.625 0.125 0.125
Ga: 0.625 0.125 0.625
Al: 0.375 0.375 0.862
Ga: 0.753 0.247 0.247
Al: 0.875 0.875 0.862
Al: 0.875 0.875 0.388
Li: 0.125 0.125 0.625
Al: 0.862 0.388 0.875
Ga: 0.497 0.003 0.497
Li: 0.125 0.125 0.125
Ga: 0.003 0.497 0.003

<two>
This record from Alexandria describes crystalline LiAl2Ga4 at its relaxed geometry. The functional is PBE-GGA.

Output
Space group: Imma, No. 74
Crystal system: orthorhombic
DOS(E_F) (states/eV per cell): 2.82
V (Å³/cell): 262.58

abc: 9.074 7.300 7.300
angles: 47.77 51.57 51.57
Atoms (fractional coordinates):
Ga: 0.230 0.253 0.287
Al: 0.013 0.737 0.237
Ga: 0.625 0.857 0.357
Ga: 0.838 0.143 0.643
Li: 0.000 0.500 0.000
Li: 0.500 0.500 0.000
Al: 0.500 0.000 0.000
Ga: 0.162 0.857 0.357
Ga: 0.770 0.747 0.713
Al: 0.987 0.263 0.763
Ga: 0.375 0.143 0.643
Al: 0.500 0.500 0.500
Ga: 0.770 0.213 0.247
Ga: 0.230 0.787 0.753

Which structure wins on stability? <two> wins.

<one>
This record from Alexandria describes crystalline Li2Al2Ga at its relaxed geometry. The functional is PBE-GGA.

Output
Space group: I4/mmm, No. 139
Crystal system: tetragonal
DOS(E_F) (states/eV per cell): 1.35
V (Å³/cell): 90.88

abc: 3.690 3.690 7.167
angles: 75.08 75.08 90.00
Atoms (fractional coordinates):
Al: 0.595 0.595 0.811
Li: 0.250 0.750 0.500
Li: 0.750 0.250 0.500
Ga: 0.000 0.000 0.000
Al: 0.405 0.405 0.189

<two>
This record from Alexandria describes crystalline Li2Al2Ga at its relaxed geometry. The functional is PBE-GGA.

Output
Space group: Ibam, No. 72
Crystal system: orthorhombic
DOS(E_F) (states/eV per cell): 3.10
V (Å³/cell): 187.36

abc: 5.230 6.134 7.096
angles: 115.61 111.63 90.00
Atoms (fractional coordinates):
Al: 0.922 0.770 0.844
Li: 0.820 0.092 0.639
Al: 0.422 0.074 0.844
Li: 0.180 0.908 0.361
Al: 0.078 0.230 0.156
Li: 0.320 0.547 0.639
Al: 0.578 0.926 0.156
Ga: 0.250 0.500 0.000
Li: 0.680 0.453 0.361
Ga: 0.750 0.500 0.000

Which structure wins on stability? <two> wins.